# 1
Computed, not measured: a relaxed CdInRh2 crystal at the GGA-PBEsol level of DFT.

## Properties
Mass density: 11.28 Mg/m³
E above lowest polymorph: 0 meV per atom

Cell: 4.4846 4.4846 4.4846 Å, 60.00 60.00 60.00°
Element x y z (fractional)
Cd 0.5000 0.5000 0.5000
In 0.0000 0.0000 0.0000
Rh 0.2500 0.2500 0.2500
Rh 0.7500 0.7500 0.7500

=====

# 2
Computed, not measured: a relaxed CdInRh2 crystal at the GGA-PBEsol level of DFT.

## Properties
Mass density: 11.13 Mg/m³
E above lowest polymorph: 232 meV per atom

Cell: 3.9619 3.9619 4.9805 Å, 113.44 113.44 90.00°
Element x y z (fractional)
Cd 0.5000 0.5000 0.0000
Rh 0.0000 0.0000 0.0000
Rh 0.7500 0.2500 0.5000
In 0.2500 0.7500 0.5000

=====

# 3
Computed, not measured: a relaxed CdInRh2 crystal at the GGA-PBEsol level of DFT.

## Properties
Mass density: 10.98 Mg/m³
E above lowest polymorph: 215 meV per atom

Cell: 3.0175 4.5370 5.5033 Å, 114.34 105.91 90.00°
Element x y z (fractional)
In 0.7360 0.2360 0.4721
Cd 0.5082 0.5082 0.0165
Rh 0.9955 0.9955 0.9910
Rh 0.2602 0.7602 0.5205

=====

# 4
Computed, not measured: a relaxed CdInRh2 crystal at the GGA-PBEsol level of DFT.

## Properties
Mass density: 11.26 Mg/m³
E above lowest polymorph: 7 meV per atom

Cell: 3.1695 3.1695 6.3594 Å, 90.00 90.00 90.00°
Element x y z (fractional)
In 0.5000 0.5000 0.5000
Cd 0.5000 0.5000 0.0000
Rh 0.0000 0.0000 0.7432
Rh 0.0000 0.0000 0.2568